Material: SrNiH6Pd
Method: DFT, PBE
State: optimized geometry

The calculation puts the magnetic moment at 0.00 μB per formula unit. As for the space group: P312, No. 149. The calculation puts the calculated density at 4.9 Mg/m³. The total DFT energy (no corrections) is -3.940 eV per atom.

a = 4.759 Å, b = 4.759 Å, c = 4.458 Å
α = 90.00°, β = 90.00°, γ = 120.00°
Fractional positions:
Sr  0.000  0.000  0.000
Ni  0.667  0.333  0.500
H  0.513  0.030  0.729
H  0.513  0.484  0.271
H  0.516  0.030  0.271
H  0.516  0.487  0.729
H  0.970  0.484  0.729
H  0.970  0.487  0.271
Pd  0.333  0.667  0.500